ScTa3C: PBEsol geometry, SCAN.

Properties
Calculated formation energy in eV/atom: -0.10

Cell: 4.337 4.337 4.337 Å, 90.00 90.00 90.00°
Space group Pm-3m (No. 221)
Inequivalent atoms, fractional coordinates:
Sc1 0.000 0.000 0.000 (multiplicity 1)
Ta1 0.000 0.500 0.500 (multiplicity 3)
C1 0.500 0.500 0.500 (multiplicity 1)

---

Sc3TeC: PBEsol geometry, SCAN.

Properties
Energy relative to the lowest polymorph listed for this composition in meV per atom: 0
Raw formation energy in eV per atom: -0.733

Cell: 4.484 4.484 4.484 Å, 90.00 90.00 90.00°
Space group Pm-3m (No. 221)
Inequivalent atoms, fractional coordinates:
Sc1 0.000 0.000 0.500 (multiplicity 3)
Te1 0.500 0.500 0.500 (multiplicity 1)
C1 0.000 0.000 0.000 (multiplicity 1)

---

Sc3TlC: PBEsol geometry, SCAN.

Properties
Energy relative to the lowest polymorph listed for this composition in meV per atom: 2355
Calculated formation energy in eV/atom: 1.52

Cell: 5.200 5.200 5.200 Å, 90.00 90.00 90.00°
Space group Pm-3m (No. 221)
Inequivalent atoms, fractional coordinates:
Sc1 0.000 0.000 0.500 (multiplicity 3)
Tl1 0.000 0.000 0.000 (multiplicity 1)
C1 0.500 0.500 0.500 (multiplicity 1)

---

Sc3TlC: PBEsol geometry, SCAN.

Properties
Energy relative to the lowest polymorph listed for this composition in meV per atom: 0
Calculated formation energy in eV/atom: -0.84

Cell: 4.502 4.502 4.502 Å, 90.00 90.00 90.00°
Space group Pm-3m (No. 221)
Inequivalent atoms, fractional coordinates:
Sc1 0.000 0.000 0.500 (multiplicity 3)
Tl1 0.500 0.500 0.500 (multiplicity 1)
C1 0.000 0.000 0.000 (multiplicity 1)

---

Sc2ZnC: PBEsol geometry, SCAN.

Properties
Calculated formation energy in eV/atom: 0.86

Cell: 3.2324 3.2324 25.6286 Å, 90.00 90.00 120.00°
Space group R-3m (No. 166, hexagonal axes)
Inequivalent atoms, fractional coordinates:
Sc1 0.0000 0.0000 0.0824 (multiplicity 6)
Zn1 0.0000 0.0000 0.5000 (multiplicity 3)
C1 0.0000 0.0000 0.0000 (multiplicity 3)

---

ZrSc2C2: PBEsol geometry, SCAN.

Properties
Calculated formation energy in eV/atom: 0.21

Cell: 4.137 4.137 8.858 Å, 90.00 90.00 90.00°
Space group I4/mmm (No. 139)
Inequivalent atoms, fractional coordinates:
Zr1 0.000 0.000 0.000 (multiplicity 2)
Sc1 0.000 0.000 0.327 (multiplicity 4)
C1 0.000 0.500 0.250 (multiplicity 4)

---

CSe3: PBEsol geometry, SCAN.

Properties
Energy relative to the lowest polymorph listed for this composition in meV per atom: 0
Raw formation energy in eV per atom: 1.166

Cell: 7.591 2.808 7.045 Å, 90.00 99.35 90.00°
Space group C2/m (No. 12)
Inequivalent atoms, fractional coordinates:
C1 0.000 0.000 0.000 (multiplicity 2)
Se1 0.000 0.500 0.500 (multiplicity 2)
Se2 0.140 0.500 0.180 (multiplicity 4)

---

CSe: PBEsol geometry, SCAN.

Properties
Energy relative to the lowest polymorph listed for this composition in meV per atom: 0
Raw formation energy in eV per atom: 1.991

Cell: 4.461 4.473 5.019 Å, 90.00 90.00 90.00°
Space group Pmmn (No. 59, origin choice 2)
Inequivalent atoms, fractional coordinates:
C1 0.250 0.250 0.042 (multiplicity 2)
Se1 0.250 0.250 0.379 (multiplicity 2)

---

C4Se: PBEsol geometry, SCAN.

Properties
Raw formation energy in eV per atom: 2.005

Cell: 2.959 2.959 11.727 Å, 90.00 90.00 90.00°
Space group I4/mmm (No. 139)
Inequivalent atoms, fractional coordinates:
C1 0.000 0.000 0.193 (multiplicity 4)
C2 0.000 0.500 0.250 (multiplicity 4)
Se1 0.000 0.000 0.000 (multiplicity 2)

---

CSe3: PBEsol geometry, SCAN.

Properties
Energy relative to the lowest polymorph listed for this composition in meV per atom: 340
Raw formation energy in eV per atom: 1.506

Cell: 4.363 4.363 4.363 Å, 90.00 90.00 90.00°
Space group Pm-3m (No. 221)
Inequivalent atoms, fractional coordinates:
C1 0.000 0.000 0.000 (multiplicity 1)
Se1 0.000 0.000 0.500 (multiplicity 3)

---

CSe: PBEsol geometry, SCAN.

Properties
Energy relative to the lowest polymorph listed for this composition in meV per atom: 113
Raw formation energy in eV per atom: 2.104

Cell: 2.928 2.928 14.206 Å, 90.00 90.00 90.00°
Space group I4_1/amd (No. 141, origin choice 2)
Inequivalent atoms, fractional coordinates:
C1 0.000 0.250 0.375 (multiplicity 4)
Se1 0.000 0.250 0.875 (multiplicity 4)

---

CSe3: PBEsol geometry, SCAN.

Properties
Energy relative to the lowest polymorph listed for this composition in meV per atom: 81
Raw formation energy in eV per atom: 1.247

Cell: 3.074 7.029 7.163 Å, 90.00 90.00 90.00°
Space group Cmmm (No. 65)
Inequivalent atoms, fractional coordinates:
C1 0.000 0.000 0.000 (multiplicity 2)
Se1 0.000 0.000 0.500 (multiplicity 2)
Se2 0.000 0.500 0.200 (multiplicity 4)

---

Number 1: DOS at the Fermi energy 4.94 states/eV/cell. Number 2: DOS at the Fermi energy 3.19 states/eV/cell. Number 3: DOS at the Fermi energy 1.33 states/eV/cell. Number 4: DOS at the Fermi energy 0.32 states/eV/cell. Number 5: DOS at the Fermi energy 10.12 states/eV/cell. Number 6: DOS at the Fermi energy 6.05 states/eV/cell. Number 7: DOS at the Fermi energy 4.44 states/eV/cell. Number 8: DOS at the Fermi energy 0.00 states/eV/cell. Number 9: DOS at the Fermi energy 2.55 states/eV/cell. Number 10: DOS at the Fermi energy 3.08 states/eV/cell. Number 11: DOS at the Fermi energy 4.00 states/eV/cell. Number 12: DOS at the Fermi energy 2.90 states/eV/cell.